## CrPb3N (PBE)

Data for CrPb3N after structural relaxation.

Lattice parameters (Å, degrees): 4.9162 4.9162 4.9162 90.00 90.00 90.00
Last column: nearest neighbours and their distance in Å.
Sites, in units of the cell vectors:
Pb (0.0000, 0.5000, 0.0000)  2 N 2.46
Pb (0.5000, 0.0000, 0.0000)  2 N 2.46
Pb (0.0000, 0.0000, 0.5000)  2 N 2.46
N (0.0000, 0.0000, 0.0000)  6 Pb 2.46
Cr (0.5000, 0.5000, 0.5000)  12 Pb 3.48

Computed properties:
energy above the lowest structure with this stoichiometry = 0.041 eV/atom
VASP energy = -22.75 eV for the cell shown
uncorrected formation energy = 1.27 eV/atom
magnetic moment = 0.3 μB/f.u.
DOS at the Fermi energy = 1.488 states/eV per atom